Record 1
Compound: In2CuNi7Sb2
Source: Alexandria via LeMat-Bulk
Functional: PBE
Structure: optimized geometry

## Properties
Raw formation energy (meV/atom): 51

Cell lengths 3.5775, 3.5775, 14.8831 Å; angles 84.79, 84.79, 89.49 degrees
Atoms (fractional coordinates):
Ni (0.5444, 0.0439, 0.8821)
Ni (0.5000, 0.5000, 0.0000)
In (0.4069, 0.4069, 0.2508)
Cu (0.0000, 0.0000, 0.0000)
In (0.5931, 0.5931, 0.7492)
Sb (0.8475, 0.8475, 0.3899)
Sb (0.1525, 0.1525, 0.6101)
Ni (0.3253, 0.3253, 0.4412)
Ni (0.4556, 0.9561, 0.1179)
Ni (0.9561, 0.4556, 0.1179)
Ni (0.0439, 0.5444, 0.8821)
Ni (0.6747, 0.6747, 0.5588)

Record 2
Compound: InCuSiNi2
Source: Alexandria via LeMat-Bulk
Functional: PBE
Structure: optimized geometry

## Properties
Raw formation energy (meV/atom): 220

Cell lengths 4.2839, 4.3605, 4.2839 Å; angles 90.00, 90.00, 90.00 degrees
Atoms (fractional coordinates):
In (0.5000, 0.5000, 0.5000)
Cu (0.0000, 0.5000, 0.0000)
Si (0.0000, 0.0000, 0.0000)
Ni (0.5000, 0.0000, 0.0000)
Ni (0.0000, 0.0000, 0.5000)

Record 3
Compound: InCuNi2Sn
Source: Alexandria via LeMat-Bulk
Functional: PBE
Structure: optimized geometry

## Properties
Energy relative to the elements (eV/atom): 0.850

Cell lengths 4.7210, 4.7357, 4.7210 Å; angles 90.00, 90.00, 90.00 degrees
Atoms (fractional coordinates):
Ni (0.5000, 0.0000, 0.0000)
Ni (0.0000, 0.0000, 0.5000)
In (0.0000, 0.0000, 0.0000)
Sn (0.5000, 0.5000, 0.5000)
Cu (0.0000, 0.5000, 0.0000)

Record 4
Compound: In2CuNi7Sn2
Source: Alexandria via LeMat-Bulk
Functional: PBE
Structure: optimized geometry

## Properties
Energy relative to the elements (eV/atom): 0.056

Cell lengths 3.5231, 3.5231, 15.2269 Å; angles 83.99, 83.99, 89.95 degrees
Atoms (fractional coordinates):
Ni (0.9476, 0.4473, 0.1180)
In (0.3880, 0.3880, 0.2510)
Ni (0.7004, 0.7004, 0.5551)
Ni (0.0524, 0.5527, 0.8820)
Ni (0.5527, 0.0524, 0.8820)
Ni (0.4473, 0.9476, 0.1180)
Sn (0.8262, 0.8262, 0.3858)
Ni (0.2996, 0.2996, 0.4449)
Sn (0.1738, 0.1738, 0.6142)
In (0.6120, 0.6120, 0.7490)
Ni (0.5000, 0.5000, 0.0000)
Cu (0.0000, 0.0000, 0.0000)

Record 5
Compound: In2Cu7NiSn2
Source: Alexandria via LeMat-Bulk
Functional: PBE
Structure: optimized geometry

## Properties
Energy relative to the elements (eV/atom): 0.101

Cell lengths 3.4741, 3.4741, 17.0687 Å; angles 84.13, 84.13, 90.03 degrees
Atoms (fractional coordinates):
Cu (0.4453, 0.9454, 0.1106)
Cu (0.9454, 0.4453, 0.1106)
Sn (0.8145, 0.8145, 0.3733)
Cu (0.7341, 0.7341, 0.5324)
Cu (0.2659, 0.2659, 0.4676)
Ni (0.0000, 0.0000, 0.0000)
In (0.6188, 0.6188, 0.7592)
Sn (0.1855, 0.1855, 0.6267)
Cu (0.0546, 0.5547, 0.8894)
In (0.3812, 0.3812, 0.2408)
Cu (0.5000, 0.5000, 0.0000)
Cu (0.5547, 0.0546, 0.8894)

Record 6
Compound: SrInCuNi
Source: Alexandria via LeMat-Bulk
Functional: PBE
Structure: optimized geometry

## Properties
Energy relative to the elements (eV/atom): -0.187

Cell lengths 4.4783, 4.4765, 5.8883 Å; angles 112.47, 90.00, 120.01 degrees
Atoms (fractional coordinates):
Cu (0.8079, 0.6157, 0.0657)
In (0.1102, 0.2204, 0.9728)
Ni (0.4307, 0.8613, 0.9345)
Sr (0.6176, 0.2351, 0.4944)

Record 7
Compound: Tb2InCu12Ni3
Source: Alexandria via LeMat-Bulk
Functional: PBE
Structure: optimized geometry

## Properties
Energy relative to the elements (eV/atom): 0.053

Cell lengths 6.4377, 6.4377, 6.4377 Å; angles 83.43, 83.43, 83.43 degrees
Atoms (fractional coordinates):
Ni (0.5000, 0.0000, 0.0000)
Ni (0.0000, 0.0000, 0.5000)
Ni (0.0000, 0.5000, 0.0000)
Cu (0.4208, 0.8544, 0.4208)
Cu (0.2044, 0.2044, 0.7075)
Cu (0.2925, 0.7956, 0.7956)
Cu (0.5792, 0.1456, 0.5792)
Cu (0.7075, 0.2044, 0.2044)
Cu (0.7956, 0.2925, 0.7956)
In (0.0000, 0.0000, 0.0000)
Cu (0.1456, 0.5792, 0.5792)
Cu (0.5792, 0.5792, 0.1456)
Cu (0.8544, 0.4208, 0.4208)
Cu (0.4208, 0.4208, 0.8544)
Cu (0.2044, 0.7075, 0.2044)
Tb (0.2589, 0.2589, 0.2589)
Cu (0.7956, 0.7956, 0.2925)
Tb (0.7411, 0.7411, 0.7411)

Record 8
Compound: ThInCuNi
Source: Alexandria via LeMat-Bulk
Functional: PBE
Structure: optimized geometry

## Properties
Energy relative to the elements (eV/atom): -0.297

Cell lengths 4.7877, 4.7877, 4.7877 Å; angles 60.00, 60.00, 60.00 degrees
Atoms (fractional coordinates):
Th (0.5000, 0.5000, 0.5000)
In (0.0000, 0.0000, 0.0000)
Cu (0.2500, 0.2500, 0.2500)
Ni (0.7500, 0.7500, 0.7500)

Record 9
Compound: Th2InCu12Ni3
Source: Alexandria via LeMat-Bulk
Functional: PBE
Structure: optimized geometry

## Properties
Energy relative to the elements (eV/atom): 0.248

Cell lengths 9.4800, 9.4800, 9.4800 Å; angles 38.24, 38.24, 38.24 degrees
Atoms (fractional coordinates):
Cu (0.4144, 0.4144, 0.7980)
Cu (0.8851, 0.8851, 0.4401)
Cu (0.5599, 0.1149, 0.1149)
Th (0.3592, 0.3592, 0.3592)
Ni (0.5000, 0.0000, 0.0000)
Cu (0.1149, 0.5599, 0.1149)
Cu (0.4401, 0.8851, 0.8851)
Cu (0.5856, 0.2020, 0.5856)
Cu (0.7980, 0.4144, 0.4144)
Cu (0.8851, 0.4401, 0.8851)
Cu (0.4144, 0.7980, 0.4144)
Ni (0.0000, 0.0000, 0.5000)
Cu (0.5856, 0.5856, 0.2020)
In (0.0000, 0.0000, 0.0000)
Cu (0.1149, 0.1149, 0.5599)
Cu (0.2020, 0.5856, 0.5856)
Th (0.6408, 0.6408, 0.6408)
Ni (0.0000, 0.5000, 0.0000)

Record 10
Compound: Tm2InCu12Ni3
Source: Alexandria via LeMat-Bulk
Functional: PBE
Structure: optimized geometry

## Properties
Energy relative to the elements (eV/atom): 0.033

Cell lengths 6.4081, 6.4081, 6.4081 Å; angles 83.39, 83.39, 83.39 degrees
Atoms (fractional coordinates):
Ni (0.5000, 0.0000, 0.0000)
Cu (0.7951, 0.2963, 0.7951)
Cu (0.7951, 0.7951, 0.2963)
Cu (0.5813, 0.5813, 0.1409)
Tm (0.7398, 0.7398, 0.7398)
Cu (0.2049, 0.2049, 0.7037)
Cu (0.8591, 0.4187, 0.4187)
Cu (0.5813, 0.1409, 0.5813)
Cu (0.4187, 0.8591, 0.4187)
Cu (0.4187, 0.4187, 0.8591)
Cu (0.2049, 0.7037, 0.2049)
In (0.0000, 0.0000, 0.0000)
Cu (0.2963, 0.7951, 0.7951)
Cu (0.7037, 0.2049, 0.2049)
Cu (0.1409, 0.5813, 0.5813)
Ni (0.0000, 0.5000, 0.0000)
Tm (0.2602, 0.2602, 0.2602)
Ni (0.0000, 0.0000, 0.5000)

Record 11
Compound: TmInCuNi
Source: Alexandria via LeMat-Bulk
Functional: PBE
Structure: optimized geometry

## Properties
Energy relative to the elements (eV/atom): -0.344

Cell lengths 4.6145, 4.6145, 4.6145 Å; angles 60.00, 60.00, 60.00 degrees
Atoms (fractional coordinates):
In (0.5000, 0.5000, 0.5000)
Ni (0.7500, 0.7500, 0.7500)
Cu (0.2500, 0.2500, 0.2500)
Tm (0.0000, 0.0000, 0.0000)

Record 12
Compound: UInCuNi
Source: Alexandria via LeMat-Bulk
Functional: PBE
Structure: optimized geometry

## Properties
Energy relative to the elements (eV/atom): 0.021

Cell lengths 4.6519, 4.6519, 4.6519 Å; angles 60.00, 60.00, 60.00 degrees
Atoms (fractional coordinates):
In (0.5000, 0.5000, 0.5000)
Ni (0.7500, 0.7500, 0.7500)
Cu (0.2500, 0.2500, 0.2500)
U (0.0000, 0.0000, 0.0000)

DOS at the Fermi energy: 11.99; 2.78; 2.92; 9.62; 5.72; 2.20; 7.86; 3.13; 11.41; 7.90; 2.79; 6.83 (states/eV/f.u.)